[1]
Bi2PdSe4O12: relaxed, PBEsol.

Results
For the total magnetization, the calculation gives 0.00 μB per atom. For the uncorrected formation energy, the calculation gives -0.912 eV per atom. Its total energy is -5.802 eV/atom. Its space-group type is P2_1/c.

a = 7.096 Å, b = 8.066 Å, c = 10.859 Å
α = 109.07°, β = 90.00°, γ = 90.00°
Sites, in units of the cell vectors:
O: 0.288 0.977 0.797
O: 0.099 0.817 0.571
O: 0.398 0.687 0.655
O: 0.788 0.523 0.203
O: 0.852 0.422 0.937
O: 0.602 0.313 0.345
O: 0.618 0.576 0.828
O: 0.007 0.199 0.094
O: 0.118 0.924 0.172
O: 0.493 0.699 0.094
O: 0.648 0.922 0.937
O: 0.507 0.301 0.906
O: 0.401 0.317 0.571
O: 0.148 0.578 0.063
O: 0.898 0.813 0.345
O: 0.882 0.076 0.828
O: 0.212 0.477 0.797
O: 0.712 0.023 0.203
O: 0.102 0.187 0.655
O: 0.352 0.078 0.063
O: 0.382 0.424 0.172
O: 0.599 0.683 0.429
O: 0.993 0.801 0.906
O: 0.901 0.183 0.429
Se: 0.822 0.617 0.367
Se: 0.678 0.117 0.367
Se: 0.674 0.366 0.817
Se: 0.826 0.866 0.817
Se: 0.326 0.634 0.183
Se: 0.178 0.383 0.633
Se: 0.174 0.134 0.183
Se: 0.322 0.883 0.633
Pd: 0.500 0.500 0.500
Pd: 0.000 0.000 0.500
Bi: 0.135 0.263 0.911
Bi: 0.635 0.237 0.089
Bi: 0.365 0.763 0.911
Bi: 0.865 0.737 0.089

---

[2]
PrBiO4: relaxed, PBEsol.

Results
For the total magnetization, the calculation gives 0.00 μB per atom. For the uncorrected formation energy, the calculation gives -1.969 eV per atom. Its total energy is -7.047 eV/atom. Its space-group type is P2_1/c.

a = 5.634 Å, b = 7.870 Å, c = 7.937 Å
α = 97.48°, β = 90.00°, γ = 90.00°
Sites, in units of the cell vectors:
Pr: 0.768 0.137 0.393
Pr: 0.268 0.863 0.107
Pr: 0.232 0.863 0.607
Pr: 0.732 0.137 0.893
O: 0.506 0.885 0.836
O: 0.994 0.885 0.336
O: 0.100 0.578 0.184
O: 0.507 0.843 0.379
O: 0.993 0.843 0.879
O: 0.891 0.670 0.571
O: 0.400 0.578 0.684
O: 0.600 0.422 0.316
O: 0.391 0.330 0.929
O: 0.109 0.330 0.429
O: 0.609 0.670 0.071
O: 0.007 0.157 0.121
O: 0.494 0.115 0.164
O: 0.900 0.422 0.816
O: 0.493 0.157 0.621
O: 0.006 0.115 0.664
Bi: 0.727 0.661 0.815
Bi: 0.273 0.339 0.185
Bi: 0.773 0.661 0.315
Bi: 0.227 0.339 0.685

---

[3]
PrBiO4: relaxed, PBEsol.

Results
For the total magnetization, the calculation gives 0.00 μB per atom. For the uncorrected formation energy, the calculation gives -1.956 eV per atom. Its total energy is -7.033 eV/atom. Its space-group type is Pnna.

a = 5.600 Å, b = 5.673 Å, c = 10.843 Å
α = 90.00°, β = 90.00°, γ = 90.00°
Sites, in units of the cell vectors:
O: 0.512 0.049 0.883
O: 0.488 0.951 0.117
O: 0.988 0.451 0.383
O: 0.888 0.567 0.129
O: 0.388 0.067 0.371
O: 0.112 0.067 0.629
O: 0.512 0.451 0.617
O: 0.112 0.433 0.871
O: 0.612 0.567 0.871
O: 0.612 0.933 0.629
O: 0.488 0.549 0.383
O: 0.388 0.433 0.129
O: 0.012 0.951 0.883
O: 0.988 0.049 0.117
O: 0.012 0.549 0.617
O: 0.888 0.933 0.371
Bi: 0.250 0.206 0.000
Bi: 0.750 0.794 0.000
Bi: 0.750 0.706 0.500
Bi: 0.250 0.294 0.500
Pr: 0.300 0.750 0.750
Pr: 0.700 0.250 0.250
Pr: 0.200 0.750 0.250
Pr: 0.800 0.250 0.750

---

[4]
PrTi6Bi7O24: relaxed, PBEsol.

Results
For the total magnetization, the calculation gives 0.00 μB per atom. For the uncorrected formation energy, the calculation gives -2.306 eV per atom. Its total energy is -7.861 eV/atom. Its space-group type is P1.

a = 5.413 Å, b = 5.395 Å, c = 16.709 Å
α = 90.00°, β = 80.68°, γ = 89.95°
Sites, in units of the cell vectors:
O: 0.530 0.292 0.247
O: 0.828 0.231 0.779
O: 0.374 0.071 0.119
O: 0.004 0.745 0.500
O: 0.208 0.720 0.023
O: 0.642 0.056 0.637
O: 0.862 0.433 0.118
O: 0.006 0.244 0.496
O: 0.284 0.790 0.754
O: 0.652 0.296 0.987
O: 0.770 0.562 0.361
O: 0.479 0.935 0.886
O: 0.716 0.789 0.021
O: 0.110 0.722 0.220
O: 0.274 0.936 0.361
O: 0.785 0.712 0.755
O: 0.141 0.444 0.637
O: 0.504 0.756 0.500
O: 0.609 0.775 0.219
O: 0.983 0.566 0.886
O: 0.030 0.207 0.250
O: 0.506 0.255 0.496
O: 0.146 0.202 0.990
O: 0.328 0.270 0.779
Bi: 0.071 0.995 0.866
Bi: 0.231 0.019 0.574
Bi: 0.813 0.979 0.419
Bi: 0.731 0.481 0.574
Bi: 0.572 0.504 0.866
Bi: 0.315 0.522 0.419
Bi: 0.432 0.499 0.134
Ti: 0.464 0.005 0.003
Ti: 0.091 0.499 0.742
Ti: 0.965 0.498 0.002
Ti: 0.328 0.000 0.255
Ti: 0.591 0.002 0.742
Ti: 0.836 0.495 0.255
Pr: 0.922 0.992 0.126

---

[5]
Bi3Pt3O11: relaxed, PBEsol.

Results
For the total magnetization, the calculation gives 0.00 μB per atom. For the uncorrected formation energy, the calculation gives -0.938 eV per atom. Its total energy is -6.320 eV/atom. Its space-group type is Pn-3.

a = 9.374 Å, b = 9.374 Å, c = 9.374 Å
α = 90.00°, β = 90.00°, γ = 90.00°
Sites, in units of the cell vectors:
Bi: 0.250 0.750 0.250
Bi: 0.250 0.250 0.750
Bi: 0.866 0.134 0.866
Bi: 0.366 0.366 0.366
Bi: 0.866 0.866 0.134
Bi: 0.750 0.250 0.250
Bi: 0.134 0.866 0.866
Bi: 0.134 0.134 0.134
Bi: 0.366 0.634 0.634
Bi: 0.634 0.366 0.634
Bi: 0.750 0.750 0.750
Bi: 0.634 0.634 0.366
O: 0.712 0.995 0.669
O: 0.854 0.500 0.500
O: 0.354 0.000 0.000
O: 0.646 0.000 0.000
O: 0.000 0.354 0.000
O: 0.169 0.788 0.495
O: 0.103 0.103 0.897
O: 0.500 0.146 0.500
O: 0.500 0.500 0.854
O: 0.146 0.500 0.500
O: 0.500 0.854 0.500
O: 0.603 0.397 0.397
O: 0.500 0.500 0.146
O: 0.505 0.169 0.212
O: 0.005 0.669 0.288
O: 0.331 0.288 0.995
O: 0.669 0.288 0.005
O: 0.397 0.397 0.603
O: 0.495 0.831 0.212
O: 0.000 0.646 0.000
O: 0.831 0.212 0.495
O: 0.495 0.169 0.788
O: 0.603 0.603 0.603
O: 0.505 0.831 0.788
O: 0.995 0.331 0.288
O: 0.288 0.005 0.669
O: 0.103 0.897 0.103
O: 0.169 0.212 0.505
O: 0.288 0.995 0.331
O: 0.331 0.712 0.005
O: 0.397 0.603 0.397
O: 0.212 0.495 0.831
O: 0.000 0.000 0.646
O: 0.212 0.505 0.169
O: 0.000 0.000 0.354
O: 0.897 0.897 0.897
O: 0.788 0.495 0.169
O: 0.712 0.005 0.331
O: 0.005 0.331 0.712
O: 0.788 0.505 0.831
O: 0.897 0.103 0.103
O: 0.669 0.712 0.995
O: 0.995 0.669 0.712
O: 0.831 0.788 0.505
Pt: 0.000 0.342 0.500
Pt: 0.500 0.000 0.342
Pt: 0.000 0.500 0.158
Pt: 0.500 0.842 0.000
Pt: 0.000 0.500 0.842
Pt: 0.842 0.000 0.500
Pt: 0.000 0.658 0.500
Pt: 0.342 0.500 0.000
Pt: 0.658 0.500 0.000
Pt: 0.500 0.000 0.658
Pt: 0.500 0.158 0.000
Pt: 0.158 0.000 0.500

---

[6]
Rb2Bi2O5: relaxed, PBEsol.

Results
For the total magnetization, the calculation gives 0.00 μB per atom. For the uncorrected formation energy, the calculation gives -1.191 eV per atom. Its total energy is -5.287 eV/atom. Its space-group type is P4/mmm.

a = 4.325 Å, b = 4.325 Å, c = 8.873 Å
α = 90.00°, β = 90.00°, γ = 90.00°
Sites, in units of the cell vectors:
O: 0.500 0.000 0.230
O: 0.000 0.500 0.770
O: 0.500 0.000 0.770
O: 0.000 0.500 0.230
O: 0.500 0.500 0.500
Bi: 0.500 0.500 0.263
Bi: 0.500 0.500 0.737
Rb: 0.000 0.000 0.000
Rb: 0.000 0.000 0.500

---

[7]
Rb3BiO3: relaxed, PBEsol.

Results
For the total magnetization, the calculation gives 0.00 μB per atom. For the uncorrected formation energy, the calculation gives -1.333 eV per atom. Its total energy is -4.634 eV/atom. Its space-group type is P2_13.

a = 8.747 Å, b = 8.747 Å, c = 8.747 Å
α = 90.00°, β = 90.00°, γ = 90.00°
Sites, in units of the cell vectors:
O: 0.562 0.504 0.283
O: 0.062 0.996 0.717
O: 0.004 0.217 0.438
O: 0.996 0.717 0.062
O: 0.938 0.496 0.783
O: 0.496 0.783 0.938
O: 0.504 0.283 0.562
O: 0.438 0.004 0.217
O: 0.217 0.438 0.004
O: 0.283 0.562 0.504
O: 0.717 0.062 0.996
O: 0.783 0.938 0.496
Rb: 0.709 0.209 0.291
Rb: 0.291 0.709 0.209
Rb: 0.786 0.214 0.714
Rb: 0.209 0.291 0.709
Rb: 0.023 0.023 0.023
Rb: 0.977 0.523 0.477
Rb: 0.791 0.791 0.791
Rb: 0.214 0.714 0.786
Rb: 0.477 0.977 0.523
Rb: 0.286 0.286 0.286
Rb: 0.714 0.786 0.214
Rb: 0.523 0.477 0.977
Bi: 0.484 0.016 0.984
Bi: 0.016 0.984 0.484
Bi: 0.984 0.484 0.016
Bi: 0.516 0.516 0.516

---

[8]
Rb12Sn2Bi6O: relaxed, PBEsol.

Results
For the total magnetization, the calculation gives 0.00 μB per atom. For the uncorrected formation energy, the calculation gives -0.433 eV per atom. Its total energy is -2.898 eV/atom. Its space-group type is P-3m1.

a = 6.327 Å, b = 12.487 Å, c = 12.487 Å
α = 120.00°, β = 90.00°, γ = 90.00°
Sites, in units of the cell vectors:
Sn: 0.753 0.667 0.333
Sn: 0.247 0.333 0.667
Rb: 0.250 0.546 0.092
Rb: 0.722 0.110 0.890
Rb: 0.278 0.890 0.780
Rb: 0.278 0.220 0.110
Rb: 0.750 0.454 0.908
Rb: 0.750 0.092 0.546
Rb: 0.250 0.908 0.454
Rb: 0.250 0.546 0.454
Rb: 0.750 0.454 0.546
Rb: 0.722 0.110 0.220
Rb: 0.278 0.890 0.110
Rb: 0.722 0.780 0.890
Bi: 0.764 0.796 0.204
Bi: 0.764 0.407 0.204
Bi: 0.236 0.204 0.796
Bi: 0.236 0.593 0.796
Bi: 0.764 0.796 0.593
Bi: 0.236 0.204 0.407
O: 0.500 0.000 0.000